(1)
The following is a GGA-PBE calculation of a relaxed AlTl2Pb crystal, from Alexandria.

It has space group R3m (No. 160, hexagonal axes), with a = 3.3649 Å, b = 3.3649 Å, c = 34.1922 Å, α = 90.00°, β = 90.00° and γ = 120.00°. Symmetry generates all atoms from Al at (0.0000, 0.0000, 0.0000), Tl at (0.0000, 0.0000, 0.2600), Tl at (0.0000, 0.0000, 0.5065) and Pb at (0.0000, 0.0000, 0.7477).

The value obtained for the total magnetization is 0.00 Bohr magnetons per cell. The density of states at the Fermi level comes out at 0.37 states/eV per atom. For the energy above the most stable polymorph in this dataset, the calculation gives 11 kJ/mol of formula units. The value obtained for the formation energy is 0.62 eV/f.u.


(2)
The following is a GGA-PBE calculation of a relaxed TbSnPd6 crystal, from Alexandria.

It has space group P4/mmm (No. 123), with a = 4.105 Å, b = 4.105 Å, c = 8.105 Å, α = 90.00°, β = 90.00° and γ = 90.00°. Symmetry generates all atoms from Tb at (0.000, 0.000, 0.000), Sn at (0.000, 0.000, 0.500), Pd at (0.000, 0.500, 0.259), Pd at (0.500, 0.500, 0.000) and Pd at (0.500, 0.500, 0.500).

The value obtained for the total magnetization is 0.00 Bohr magnetons per cell. The density of states at the Fermi level comes out at 0.18 states/eV per atom. For the energy above the most stable polymorph in this dataset, the calculation gives 0 kJ/mol of formula units. The value obtained for the formation energy is -5.51 eV/f.u.


(3)
The following is a GGA-PBE calculation of a relaxed Bi5Pt4Pb crystal, from Alexandria.

It has space group C2/m (No. 12), with a = 18.371 Å, b = 4.267 Å, c = 7.458 Å, α = 90.00°, β = 113.74° and γ = 90.00°. Symmetry generates all atoms from Bi at (0.000, 0.000, 0.000), Bi at (0.167, 0.500, 0.435), Bi at (0.167, 0.500, 0.900), Pt at (0.000, 0.500, 0.241), Pt at (0.208, 0.000, 0.708) and Pb at (0.000, 0.000, 0.500).

The value obtained for the total magnetization is 0.00 Bohr magnetons per cell. The density of states at the Fermi level comes out at 0.44 states/eV per atom. The value obtained for the formation energy is -1.62 eV/f.u.


(4)
The following is a GGA-PBE calculation of a relaxed DyErCo2 crystal, from Alexandria.

It has space group Fm-3m (No. 225), with a = 6.639 Å, b = 6.639 Å, c = 6.639 Å, α = 90.00°, β = 90.00° and γ = 90.00°. Symmetry generates all atoms from Dy at (0.000, 0.000, 0.000), Er at (0.000, 0.000, 0.500) and Co at (0.250, 0.250, 0.250).

The value obtained for the total magnetization is 2.62 Bohr magnetons per cell. The density of states at the Fermi level comes out at 0.22 states/eV per atom. For the energy above the most stable polymorph in this dataset, the calculation gives 20 kJ/mol of formula units. The value obtained for the formation energy is -0.69 eV/f.u.


(5)
The following is a GGA-PBE calculation of a relaxed Li4TlSnHg2 crystal, from Alexandria.

It has space group R-3m (No. 166, hexagonal axes), with a = 4.7796 Å, b = 4.7796 Å, c = 23.3929 Å, α = 90.00°, β = 90.00° and γ = 120.00°. Symmetry generates all atoms from Li at (0.0000, 0.0000, 0.1238), Li at (0.0000, 0.0000, 0.3737), Tl at (0.0000, 0.0000, 0.5000), Sn at (0.0000, 0.0000, 0.0000) and Hg at (0.0000, 0.0000, 0.2501).

The value obtained for the total magnetization is 0.00 Bohr magnetons per cell. The density of states at the Fermi level comes out at 0.38 states/eV per atom. The value obtained for the formation energy is -2.57 eV/f.u.


(6)
The following is a GGA-PBE calculation of a relaxed PmSmTlOs crystal, from Alexandria.

It has space group F-43m (No. 216), with a = 7.332 Å, b = 7.332 Å, c = 7.332 Å, α = 90.00°, β = 90.00° and γ = 90.00°. Symmetry generates all atoms from Pm at (0.000, 0.000, 0.000), Sm at (0.000, 0.000, 0.500), Tl at (0.250, 0.250, 0.250) and Os at (0.250, 0.250, 0.750).

The value obtained for the total magnetization is 0.00 Bohr magnetons per cell. The density of states at the Fermi level comes out at 0.75 states/eV per atom. The value obtained for the formation energy is -0.24 eV/f.u.


(7)
The following is a GGA-PBE calculation of a relaxed DyPd12Pb3 crystal, from Alexandria.

It has space group P4/mmm (No. 123), with a = 4.115 Å, b = 4.115 Å, c = 16.437 Å, α = 90.00°, β = 90.00° and γ = 90.00°. Symmetry generates all atoms from Dy at (0.000, 0.000, 0.000), Pd at (0.000, 0.500, 0.126), Pd at (0.000, 0.500, 0.375), Pd at (0.500, 0.500, 0.000), Pd at (0.500, 0.500, 0.251), Pd at (0.500, 0.500, 0.500), Pb at (0.000, 0.000, 0.250) and Pb at (0.000, 0.000, 0.500).

The value obtained for the total magnetization is 0.00 Bohr magnetons per cell. The density of states at the Fermi level comes out at 0.25 states/eV per atom. The value obtained for the formation energy is -7.01 eV/f.u.


(8)
The following is a GGA-PBE calculation of a relaxed Ti2Sb2Te crystal, from Alexandria.

It has space group P4/mbm (No. 127), with a = 7.728 Å, b = 7.728 Å, c = 3.656 Å, α = 90.00°, β = 90.00° and γ = 90.00°. Symmetry generates all atoms from Ti at (0.149, 0.351, 0.000), Sb at (0.143, 0.643, 0.500) and Te at (0.000, 0.000, 0.000).

The value obtained for the total magnetization is 0.00 Bohr magnetons per cell. The density of states at the Fermi level comes out at 0.63 states/eV per atom. For the energy above the most stable polymorph in this dataset, the calculation gives 0 kJ/mol of formula units. As for the formation energy (no corrections): -8.31 kcal/mol of atoms.


(9)
The following is a GGA-PBE calculation of a relaxed SrAl2Au4 crystal, from Alexandria.

It has space group I4/mmm (No. 139), with a = 7.047 Å, b = 7.047 Å, c = 5.532 Å, α = 90.00°, β = 90.00° and γ = 90.00°. Symmetry generates all atoms from Sr at (0.000, 0.000, 0.000), Al at (0.000, 0.500, 0.250) and Au at (0.200, 0.200, 0.500).

The value obtained for the total magnetization is 0.00 Bohr magnetons per cell. The density of states at the Fermi level comes out at 0.40 states/eV per atom. For the energy above the most stable polymorph in this dataset, the calculation gives 0 kJ/mol of formula units. The value obtained for the formation energy is -3.59 eV/f.u.


(10)
The following is a GGA-PBE calculation of a relaxed Li3Sb4Se8 crystal, from Alexandria.

It has space group C2/m (No. 12), with a = 11.274 Å, b = 11.548 Å, c = 8.006 Å, α = 90.00°, β = 134.75° and γ = 90.00°. Symmetry generates all atoms from Li at (0.000, 0.000, 0.000), Li at (0.250, 0.250, 0.000), Sb at (0.000, 0.500, 0.000), Sb at (0.000, 0.500, 0.500), Sb at (0.250, 0.250, 0.500), Se at (0.000, 0.251, 0.000), Se at (0.000, 0.256, 0.500), Se at (0.240, 0.000, 0.489) and Se at (0.247, 0.500, 0.986).

The value obtained for the total magnetization is 0.00 Bohr magnetons per cell. The density of states at the Fermi level comes out at 0.34 states/eV per atom. For the energy above the most stable polymorph in this dataset, the calculation gives 0 kJ/mol of formula units. As for the formation energy (no corrections): -11.79 kcal/mol of atoms.


(11)
The following is a GGA-PBE calculation of a relaxed Pu4Ge5Os2 crystal, from Alexandria.

It has space group P2/m (No. 10), with a = 7.104 Å, b = 3.960 Å, c = 8.322 Å, α = 90.00°, β = 91.40° and γ = 90.00°. Symmetry generates all atoms from Pu at (0.218, 0.000, 0.354), Pu at (0.239, 0.000, 0.896), Ge at (0.126, 0.500, 0.620), Ge at (0.441, 0.500, 0.153), Ge at (0.500, 0.500, 0.500) and Os at (0.082, 0.500, 0.136).

The value obtained for the total magnetization is 19.83 Bohr magnetons per cell. The density of states at the Fermi level comes out at 2.85 states/eV per atom. The value obtained for the formation energy is -3.05 eV/f.u.


(12)
The following is a GGA-PBE calculation of a relaxed TbNdHoTl crystal, from Alexandria.

It has space group F-43m (No. 216), with a = 7.820 Å, b = 7.820 Å, c = 7.820 Å, α = 90.00°, β = 90.00° and γ = 90.00°. Symmetry generates all atoms from Tb at (0.000, 0.000, 0.000), Nd at (0.000, 0.000, 0.500), Ho at (0.250, 0.250, 0.250) and Tl at (0.250, 0.250, 0.750).

The value obtained for the total magnetization is 5.23 Bohr magnetons per cell. The density of states at the Fermi level comes out at 1.31 states/eV per atom. For the energy above the most stable polymorph in this dataset, the calculation gives 51 kJ/mol of formula units. The value obtained for the formation energy is -0.20 eV/f.u.